Here is crystalline LiCo2Ru at its relaxed geometry from the Alexandria database. Energies are from PBE.

a b c (Å): 4.0690 4.0690 4.0690
angles (deg): 60.00 60.00 60.00
Last column: nearest neighbours and their distance in Å.
Positions (direct):
Li 0.0000 0.0000 0.0000  8 Co 2.49
Co 0.2500 0.2500 0.2500  4 Li 2.49, 4 Ru 2.49
Co 0.7500 0.7500 0.7500  4 Li 2.49, 4 Ru 2.49
Ru 0.5000 0.5000 0.5000  8 Co 2.49

Computed properties:
* theoretical density: 7.874 Mg/m³
* ΔE_f: 222 meV/atom
* size of the total moment: 0.832 μB per atom

***

Here is crystalline LiCo2Ru at its relaxed geometry from the Alexandria database. Energies are from PBE.

a b c (Å): 2.5409 2.5409 8.7112
angles (deg): 90.00 90.00 116.40
Last column: nearest neighbours and their distance in Å.
Positions (direct):
Li 0.0000 0.0000 0.0000  6 Li 2.54-2.68, 2 Co 2.59, 2 Ru 2.66
Co 0.0000 0.0000 0.5170  8 Co 2.40-2.68, 2 Ru 2.58
Co 0.5000 0.5000 0.7450  8 Co 2.40-2.68, 2 Li 2.59
Ru 0.5000 0.5000 0.2640  6 Ru 2.54-2.68, 2 Co 2.58, 2 Li 2.66

Computed properties:
* theoretical density: 7.446 Mg/m³
* ΔE_f: 238 meV/atom
* size of the total moment: 0.949 μB per atom

***

Here is crystalline LiCoRu at its relaxed geometry from the Alexandria database. Energies are from PBE.

a b c (Å): 4.4204 4.4204 4.4204
angles (deg): 146.10 131.25 60.70
Last column: nearest neighbours and their distance in Å.
Positions (direct):
Li 0.0000 0.0000 0.0000  5 Ru 2.46-2.61, 5 Co 2.52-2.58, 2 Li 2.58
Co 0.3300 0.3300 0.0000  5 Ru 2.52-2.65, 5 Li 2.52-2.58, 2 Co 2.58
Ru 0.6779 0.6779 0.0000  5 Li 2.46-2.61, 5 Co 2.52-2.65, 2 Ru 2.58

Computed properties:
* theoretical density: 7.729 Mg/m³
* ΔE_f: 244 meV/atom
* size of the total moment: 0.222 μB per atom

***

It is found that the offset from the most stable computed form values, taken in the order of the records, are 4.5 6.0 10.2 kJ per mole of atoms.
It is found that the energy values, taken in the order of the records, are -24.51 -24.45 -17.56 eV/cell.